First-principles (GGA-PBE) data for a geometry-optimized Pb3AuS structure, as listed in Alexandria.

energy relative to the elements, uncorrected	0.29	eV per atom
Fermi-level density of states	2.96	states/eV/cell
energy relative to the lowest polymorph listed for this composition	0.0	kJ/mol of atoms
raw total energy	-17.1	eV per cell

POSCAR file:
```
Pb3AuS
1.0
5.482 0.000 0.000
0.000 5.482 0.000
0.000 0.000 5.482
S Pb Au
1 3 1
Direct
0.000 0.000 0.000
0.000 0.500 0.000
0.500 0.000 0.000
0.000 0.000 0.500
0.500 0.500 0.500
```